A relaxed Pm3Cd2Hg8 crystal, computed with GGA-PBE.

Cell: 6.0700 6.0700 33.4169 Å, 90.00 90.00 120.00°
Space group R-3m (No. 166, hexagonal axes)
Symmetry-distinct sites (fractional):
Pm 0.0000 0.0000 0.0000 [3 per cell]
Pm 0.0000 0.0000 0.1905 [6 per cell]
Cd 0.0000 0.0000 0.3671 [6 per cell]
Hg 0.0000 0.0000 0.2838 [6 per cell]
Hg 0.0008 0.5004 0.7737 [18 per cell]

## Properties
E_form: -147 kJ/mol of formula units
Crystal system: trigonal
Magnetization: 0.00 μB per atom
V: 1066.3 Å³/cell